VASP calculation (GGA-PBE) on an optimized crystal structure of MnAg3P.

Results
Space group: Pm-3m (221)
ΔE_f (meV/atom): 594
Polymorph energy (0 for the lowest one) (meV per atom): 0

Unit cell a=4.757 b=4.757 c=4.757 alpha=90.00 beta=90.00 gamma=90.00
Sites, in units of the cell vectors:
P 0.000 0.000 0.000
Mn 0.500 0.500 0.500
Ag 0.000 0.500 0.000
Ag 0.000 0.000 0.500
Ag 0.500 0.000 0.000

---

VASP calculation (GGA-PBE) on an optimized crystal structure of MnAgP3.

Results
Space group: Pm-3m (221)
ΔE_f (meV/atom): 525
Polymorph energy (0 for the lowest one) (meV per atom): 0

Unit cell a=4.439 b=4.439 c=4.439 alpha=90.00 beta=90.00 gamma=90.00
Sites, in units of the cell vectors:
P 0.000 0.500 0.000
P 0.000 0.000 0.500
P 0.500 0.000 0.000
Mn 0.000 0.000 0.000
Ag 0.500 0.500 0.500

---

VASP calculation (GGA-PBE) on an optimized crystal structure of MnAg2P.

Results
Space group: P4/mmm (123)
ΔE_f (meV/atom): 189

Unit cell a=3.826 b=3.818 c=4.514 alpha=90.00 beta=90.00 gamma=90.00
Sites, in units of the cell vectors:
Ag 0.000 0.000 0.000
Ag 0.500 0.500 0.000
Mn 0.500 0.000 0.500
P 0.000 0.500 0.500

---

VASP calculation (GGA-PBE) on an optimized crystal structure of MnAgP2.

Results
Space group: C2/m (12)
ΔE_f (meV/atom): 288
Polymorph energy (0 for the lowest one) (meV per atom): 311

Unit cell a=4.748 b=4.748 c=2.767 alpha=90.19 beta=90.19 gamma=89.97
Sites, in units of the cell vectors:
Ag 0.500 0.000 0.500
Mn 0.000 0.500 0.500
P 0.000 0.000 0.000
P 0.500 0.500 0.000

---

VASP calculation (GGA-PBE) on an optimized crystal structure of MnAg4P.

Results
Space group: F-43m (216)
ΔE_f (meV/atom): 475

Unit cell a=5.431 b=5.431 c=5.431 alpha=60.00 beta=60.00 gamma=60.00
Sites, in units of the cell vectors:
Mn 0.750 0.750 0.750
Ag 0.874 0.375 0.375
Ag 0.375 0.375 0.375
Ag 0.375 0.375 0.874
Ag 0.375 0.874 0.375
P 0.000 0.000 0.000

---

VASP calculation (GGA-PBE) on an optimized crystal structure of Mn3AgP.

Results
Space group: Pm-3m (221)
ΔE_f (meV/atom): 1286
Polymorph energy (0 for the lowest one) (meV per atom): 673

Unit cell a=4.826 b=4.826 c=4.826 alpha=90.00 beta=90.00 gamma=90.00
Sites, in units of the cell vectors:
P 0.500 0.500 0.500
Mn 0.000 0.500 0.000
Mn 0.000 0.000 0.500
Mn 0.500 0.000 0.000
Ag 0.000 0.000 0.000

---

VASP calculation (GGA-PBE) on an optimized crystal structure of MnAg2P.

Results
Space group: P4mm (99)
ΔE_f (meV/atom): 55

Unit cell a=3.060 b=3.060 c=6.852 alpha=90.00 beta=90.00 gamma=90.00
Sites, in units of the cell vectors:
Ag 0.000 0.000 0.988
Ag 0.500 0.500 0.272
Mn 0.000 0.000 0.554
P 0.500 0.500 0.686

---

VASP calculation (GGA-PBE) on an optimized crystal structure of MnAgP2.

Results
Space group: P4mm (99)
ΔE_f (meV/atom): 304
Polymorph energy (0 for the lowest one) (meV per atom): 327

Unit cell a=2.807 b=2.807 c=7.638 alpha=90.00 beta=90.00 gamma=90.00
Sites, in units of the cell vectors:
Ag 0.000 0.000 0.518
Mn 0.500 0.500 0.792
P 0.000 0.000 0.942
P 0.500 0.500 0.248